No. 1
The following is a GGA-PBE calculation of crystalline La2CeNdBi5 at its relaxed geometry, from Alexandria via LeMat-Bulk.

The structure in CIF format:
```
data_La2CeNdBi5
_chemical_formula_sum 'La2 Ce1 Nd1 Bi5'
_cell_length_a 5.584
_cell_length_b 5.584
_cell_length_c 12.142
_cell_angle_alpha 90.00
_cell_angle_beta 90.00
_cell_angle_gamma 90.00
_symmetry_space_group_name_H-M 'P 4/m m m'
_symmetry_Int_Tables_number 123
_symmetry_space_group_name_Hall '-P 4 2'
loop_
_atom_site_label
_atom_site_fract_x
_atom_site_fract_y
_atom_site_fract_z
_atom_site_occupancy
La1 0.000 0.000 0.220 1
Ce1 0.500 0.500 0.500 1
Nd1 0.500 0.500 0.000 1
Bi1 0.000 0.000 0.500 1
Bi2 0.000 0.500 0.000 1
Bi3 0.500 0.500 0.255 1
```

**Energy of formation from the pure elements**: -0.17 eV/atom
**Crystal system**: tetragonal
**Total energy**: -4.6103 eV/atom
**V**: 42.07 A^3/atom

***

No. 2
The following is a GGA-PBE calculation of crystalline Ca2OsBr at its relaxed geometry, from Alexandria via LeMat-Bulk.

The structure in CIF format:
```
data_Ca2OsBr
_chemical_formula_sum 'Ca2 Os1 Br1'
_cell_length_a 3.425
_cell_length_b 3.425
_cell_length_c 7.953
_cell_angle_alpha 90.00
_cell_angle_beta 90.00
_cell_angle_gamma 90.00
_symmetry_space_group_name_H-M 'P 4/m m m'
_symmetry_Int_Tables_number 123
_symmetry_space_group_name_Hall '-P 4 2'
loop_
_atom_site_label
_atom_site_fract_x
_atom_site_fract_y
_atom_site_fract_z
_atom_site_occupancy
Ca1 0.000 0.000 0.220 1
Os1 0.500 0.500 0.000 1
Br1 0.500 0.500 0.500 1
```

**Crystal system**: tetragonal
**Formation energy without anion corrections**: -351.9 meV per atom
**Total energy**: -4.5783 eV/atom
**V**: 23.32 A^3/atom
**Relative energy among the computed polymorphs**: 0.000 eV per atom

***

No. 3
The following is a GGA-PBE calculation of crystalline Tb6PrSm3 at its relaxed geometry, from Alexandria via LeMat-Bulk.

The structure in CIF format:
```
data_Tb6PrSm3
_chemical_formula_sum 'Tb18 Pr3 Sm9'
_cell_length_a 9.9449
_cell_length_b 9.9449
_cell_length_c 11.7149
_cell_angle_alpha 90.00
_cell_angle_beta 90.00
_cell_angle_gamma 120.00
_symmetry_space_group_name_H-M 'R 3'
_symmetry_Int_Tables_number 146
_symmetry_space_group_name_Hall 'R 3'
loop_
_atom_site_label
_atom_site_fract_x
_atom_site_fract_y
_atom_site_fract_z
_atom_site_occupancy
Tb1 0.9998 0.3275 0.0000 1
Tb2 0.9998 0.6738 0.5000 1
Pr1 0.0000 0.0000 0.0009 1
Sm1 0.0000 0.0000 0.2536 1
Sm2 0.0000 0.0000 0.5011 1
Sm3 0.0000 0.0000 0.7491 1
```

**Energy of formation from the pure elements**: 0.27 eV/atom
**Crystal system**: trigonal
**Total energy**: -4.3980 eV/atom
**V**: 33.45 A^3/atom
**Relative energy among the computed polymorphs**: 0.125 eV per atom

***

No. 4
The following is a GGA-PBE calculation of crystalline Tb2Nd2DyTm2 at its relaxed geometry, from Alexandria via LeMat-Bulk.

The structure in CIF format:
```
data_Tb2Nd2DyTm2
_chemical_formula_sum 'Tb4 Nd4 Dy2 Tm4'
_cell_length_a 11.692
_cell_length_b 3.518
_cell_length_c 11.830
_cell_angle_alpha 90.00
_cell_angle_beta 109.42
_cell_angle_gamma 90.00
_symmetry_space_group_name_H-M 'C 1 2/m 1'
_symmetry_Int_Tables_number 12
loop_
_symmetry_equiv_pos_as_xyz
'x,y,z'
'-x,-y,-z'
'-x,y,-z'
'x,-y,z'
'x+1/2,y+1/2,z'
'-x+1/2,-y+1/2,-z'
'-x+1/2,y+1/2,-z'
'x+1/2,-y+1/2,z'
loop_
_atom_site_label
_atom_site_fract_x
_atom_site_fract_y
_atom_site_fract_z
_atom_site_occupancy
Tb1 0.050 0.000 0.268 1
Nd1 0.170 0.000 0.585 1
Dy1 0.000 0.500 0.000 1
Tm1 0.226 0.500 0.865 1
```

**Energy of formation from the pure elements**: 0.09 eV/atom
**Crystal system**: monoclinic
**Total energy**: -4.5351 eV/atom
**V**: 32.78 A^3/atom

***

No. 5
The following is a GGA-PBE calculation of crystalline MnPt4 at its relaxed geometry, from Alexandria via LeMat-Bulk.

The structure in CIF format:
```
data_MnPt4
_chemical_formula_sum 'Mn2 Pt8'
_cell_length_a 3.682
_cell_length_b 3.682
_cell_length_c 13.055
_cell_angle_alpha 90.00
_cell_angle_beta 90.00
_cell_angle_gamma 90.00
_symmetry_space_group_name_H-M 'I 4/m m m'
_symmetry_Int_Tables_number 139
_symmetry_space_group_name_Hall '-I 4 2'
loop_
_atom_site_label
_atom_site_fract_x
_atom_site_fract_y
_atom_site_fract_z
_atom_site_occupancy
Mn1 0.000 0.000 0.000 1
Pt1 0.000 0.000 0.404 1
Pt2 0.000 0.500 0.250 1
```

**Energy of formation from the pure elements**: 0.15 eV/atom
**Crystal system**: tetragonal
**Total energy**: -6.5121 eV/atom
**V**: 17.70 A^3/atom
**Relative energy among the computed polymorphs**: 0.380 eV per atom

***

No. 6
The following is a GGA-PBE calculation of crystalline TiZnRu3 at its relaxed geometry, from Alexandria via LeMat-Bulk.

The structure in CIF format:
```
data_TiZnRu3
_chemical_formula_sum 'Ti1 Zn1 Ru3'
_cell_length_a 4.501
_cell_length_b 4.501
_cell_length_c 4.501
_cell_angle_alpha 90.00
_cell_angle_beta 90.00
_cell_angle_gamma 90.00
_symmetry_space_group_name_H-M 'P m -3 m'
_symmetry_Int_Tables_number 221
_symmetry_space_group_name_Hall '-P 4 2 3'
loop_
_atom_site_label
_atom_site_fract_x
_atom_site_fract_y
_atom_site_fract_z
_atom_site_occupancy
Ti1 0.000 0.000 0.000 1
Zn1 0.500 0.500 0.500 1
Ru1 0.000 0.000 0.500 1
```

**Energy of formation from the pure elements**: 1.12 eV/atom
**Crystal system**: cubic
**Total energy**: -6.2808 eV/atom
**V**: 18.23 A^3/atom
**Relative energy among the computed polymorphs**: 0.000 eV per atom

***

No. 7
The following is a GGA-PBE calculation of crystalline Ca2TcRhBr at its relaxed geometry, from Alexandria via LeMat-Bulk.

The structure in CIF format:
```
data_Ca2TcRhBr
_chemical_formula_sum 'Ca2 Tc1 Rh1 Br1'
_cell_length_a 5.594
_cell_length_b 5.594
_cell_length_c 4.583
_cell_angle_alpha 90.00
_cell_angle_beta 90.00
_cell_angle_gamma 90.00
_symmetry_space_group_name_H-M 'P 4/m m m'
_symmetry_Int_Tables_number 123
_symmetry_space_group_name_Hall '-P 4 2'
loop_
_atom_site_label
_atom_site_fract_x
_atom_site_fract_y
_atom_site_fract_z
_atom_site_occupancy
Ca1 0.000 0.500 0.000 1
Tc1 0.000 0.000 0.000 1
Rh1 0.500 0.500 0.500 1
Br1 0.000 0.000 0.500 1
```

**Crystal system**: tetragonal
**Formation energy without anion corrections**: 689.0 meV per atom
**Total energy**: -3.9897 eV/atom
**V**: 28.69 A^3/atom

***

No. 8
The following is a GGA-PBE calculation of crystalline Tb2CePm3Sm6 at its relaxed geometry, from Alexandria via LeMat-Bulk.

The structure in CIF format:
```
data_Tb2CePm3Sm6
_chemical_formula_sum 'Tb4 Ce2 Pm6 Sm12'
_cell_length_a 6.268
_cell_length_b 10.859
_cell_length_c 12.003
_cell_angle_alpha 90.00
_cell_angle_beta 100.07
_cell_angle_gamma 90.00
_symmetry_space_group_name_H-M 'C 1 2/m 1'
_symmetry_Int_Tables_number 12
loop_
_symmetry_equiv_pos_as_xyz
'x,y,z'
'-x,-y,-z'
'-x,y,-z'
'x,-y,z'
'x+1/2,y+1/2,z'
'-x+1/2,-y+1/2,-z'
'-x+1/2,y+1/2,-z'
'x+1/2,-y+1/2,z'
loop_
_atom_site_label
_atom_site_fract_x
_atom_site_fract_y
_atom_site_fract_z
_atom_site_occupancy
Tb1 0.000 0.166 0.000 1
Ce1 0.000 0.500 0.000 1
Pm1 0.000 0.000 0.500 1
Pm2 0.000 0.333 0.500 1
Sm1 0.248 0.334 0.247 1
Sm2 0.249 0.500 0.753 1
```

**Energy of formation from the pure elements**: 0.04 eV/atom
**Crystal system**: monoclinic
**Total energy**: -4.7764 eV/atom
**V**: 33.51 A^3/atom